# 1
First-principles (PBE) data for a geometry-optimized NpIBrF structure, as listed in Alexandria.

a b c (Å): 4.2043 4.2043 24.0518
angles (deg): 90.00 90.00 120.00
Closest atoms and distances in Å follow each position.
Sites, in units of the cell vectors:
Np 0.0000 0.0000 0.0000  3 F 2.43
Np 0.3333 0.6667 0.6667  3 F 2.43
Np 0.6667 0.3333 0.3333  3 F 2.43
I 0.0000 0.0000 0.4257  3 F 3.28, 3 Np 3.29
I 0.3333 0.6667 0.0924  3 F 3.28, 3 Np 3.29
I 0.6667 0.3333 0.7591  3 F 3.28, 3 Np 3.29
Br 0.0000 0.0000 0.2536  3 Np 3.09, 3 F 3.10
Br 0.3333 0.6667 0.9203  3 Np 3.09, 3 F 3.10
Br 0.6667 0.3333 0.5870  3 Np 3.09, 3 F 3.10
F 0.0000 0.0000 0.6671  3 Np 2.43
F 0.3333 0.6667 0.3338  3 Np 2.43
F 0.6667 0.3333 0.0005  3 Np 2.43

## Properties
Magnetization in μB/f.u.: 4.0
Space group: No. 160
E_form (uncorrected) in eV per atom: -1.908

# 2
First-principles (PBE) data for a geometry-optimized I2BrOF structure, as listed in Alexandria.

a b c (Å): 5.9515 5.9515 3.7393
angles (deg): 90.00 90.00 90.00
Closest atoms and distances in Å follow each position.
Sites, in units of the cell vectors:
I 0.0000 0.5000 0.0000  2 Br 2.98
I 0.5000 0.0000 0.0000  2 Br 2.98
Br 0.0000 0.0000 0.0000  2 O 1.87
O 0.0000 0.0000 0.5000  2 Br 1.87
F 0.5000 0.5000 0.5000  8 I 3.51, 2 F 3.74

## Properties
Relative energy among the computed polymorphs in meV per atom: 0
Magnetization in μB/f.u.: 1.0
Space group: No. 123
E_form (uncorrected) in eV per atom: 0.496

# 3
First-principles (PBE) data for a geometry-optimized I2BrOF structure, as listed in Alexandria.

a b c (Å): 5.3200 5.3200 4.0023
angles (deg): 90.00 90.00 90.00
Closest atoms and distances in Å follow each position.
Sites, in units of the cell vectors:
I 0.0000 0.5000 0.0000  2 F 2.66
I 0.5000 0.0000 0.0000  2 F 2.66
Br 0.0000 0.0000 0.5000  8 I 3.33
O 0.5000 0.5000 0.5000  2 F 2.00
F 0.5000 0.5000 0.0000  2 O 2.00

## Properties
Relative energy among the computed polymorphs in meV per atom: 316
Magnetization in μB/f.u.: 0.0
Space group: No. 123
E_form (uncorrected) in eV per atom: 0.812

# 4
First-principles (PBE) data for a geometry-optimized OsIBr2F structure, as listed in Alexandria.

a b c (Å): 4.9931 4.9931 5.3730
angles (deg): 90.00 90.00 90.00
Closest atoms and distances in Å follow each position.
Sites, in units of the cell vectors:
Os 0.0000 0.0000 0.0000  4 Br 2.50, 2 I 2.69
I 0.0000 0.0000 0.5000  2 Os 2.69
Br 0.0000 0.5000 0.0000  2 Os 2.50
Br 0.5000 0.0000 0.0000  2 Os 2.50
F 0.5000 0.5000 0.5000  4 I 3.53, 8 Br 3.67

## Properties
Magnetization in μB/f.u.: 1.6
Space group: No. 123
E_form (uncorrected) in eV per atom: 0.361

# 5
First-principles (PBE) data for a geometry-optimized PIBr2F structure, as listed in Alexandria.

a b c (Å): 5.7566 5.7566 4.6216
angles (deg): 90.00 90.00 90.00
Closest atoms and distances in Å follow each position.
Sites, in units of the cell vectors:
P 0.0000 0.0000 0.0000  8 Br 3.69, 4 F 4.07
I 0.5000 0.5000 0.5000  2 F 2.31
Br 0.0000 0.5000 0.5000  2 I 2.88
Br 0.5000 0.0000 0.5000  2 I 2.88
F 0.5000 0.5000 0.0000  2 I 2.31

## Properties
Magnetization in μB/f.u.: 2.7
Space group: No. 123
E_form (uncorrected) in eV per atom: 0.411

# 6
First-principles (PBE) data for a geometry-optimized PaI2BrF structure, as listed in Alexandria.

a b c (Å): 7.9228 5.5206 9.3918
angles (deg): 90.00 114.33 90.00
Closest atoms and distances in Å follow each position.
Sites, in units of the cell vectors:
Pa 0.1526 0.2500 0.1738  1 F 2.04
Pa 0.8474 0.7500 0.8262  1 F 2.04
I 0.0646 0.2500 0.7936  2 F 3.32, 3 Pa 3.33-3.34, 3 I 3.62-3.65
I 0.2910 0.7500 0.0580  3 Pa 3.28-3.31, 3 I 3.62-3.65
I 0.7090 0.2500 0.9420  3 Pa 3.28-3.31, 3 I 3.62-3.65
I 0.9354 0.7500 0.2064  2 F 3.32, 3 Pa 3.33-3.34, 3 I 3.62-3.65
Br 0.4736 0.7500 0.6673  1 Pa 2.71
Br 0.5264 0.2500 0.3327  1 Pa 2.71
F 0.1467 0.2500 0.3886  1 Pa 2.04
F 0.8533 0.7500 0.6114  1 Pa 2.04

## Properties
Magnetization in μB/f.u.: 1.0
Space group: No. 11
E_form (uncorrected) in eV per atom: -1.658

# 7
First-principles (PBE) data for a geometry-optimized PaIBrF structure, as listed in Alexandria.

a b c (Å): 4.1720 4.1720 24.4900
angles (deg): 90.00 90.00 120.00
Closest atoms and distances in Å follow each position.
Sites, in units of the cell vectors:
Pa 0.0000 0.0000 0.0000  3 F 2.41
Pa 0.3333 0.6667 0.6667  3 F 2.41
Pa 0.6667 0.3333 0.3333  3 F 2.41
I 0.0000 0.0000 0.7587  3 Pa 3.30, 3 F 3.34
I 0.3333 0.6667 0.4253  3 Pa 3.30, 3 F 3.34
I 0.6667 0.3333 0.0920  3 Pa 3.30, 3 F 3.34
Br 0.0000 0.0000 0.5843  3 F 3.11, 3 Pa 3.14
Br 0.3333 0.6667 0.2510  3 F 3.11, 3 Pa 3.14
Br 0.6667 0.3333 0.9176  3 F 3.11, 3 Pa 3.14
F 0.0000 0.0000 0.3310  3 Pa 2.41
F 0.3333 0.6667 0.9977  3 Pa 2.41
F 0.6667 0.3333 0.6643  3 Pa 2.41

## Properties
Magnetization in μB/f.u.: 2.0
Space group: No. 160
E_form (uncorrected) in eV per atom: -1.896

# 8
First-principles (PBE) data for a geometry-optimized PmIBrF structure, as listed in Alexandria.

a b c (Å): 4.1670 4.1670 24.3380
angles (deg): 90.00 90.00 120.00
Closest atoms and distances in Å follow each position.
Sites, in units of the cell vectors:
Pm 0.0000 0.0000 0.0000  3 F 2.41
Pm 0.3333 0.6667 0.6667  3 F 2.41
Pm 0.6667 0.3333 0.3333  3 F 2.41
I 0.0000 0.0000 0.2419  3 Pm 3.28, 3 F 3.28
I 0.3333 0.6667 0.9086  3 Pm 3.28, 3 F 3.28
I 0.6667 0.3333 0.5752  3 Pm 3.28, 3 F 3.28
Br 0.0000 0.0000 0.4124  3 F 3.08, 3 Pm 3.08
Br 0.3333 0.6667 0.0790  3 F 3.08, 3 Pm 3.08
Br 0.6667 0.3333 0.7457  3 F 3.08, 3 Pm 3.08
F 0.0000 0.0000 0.6668  3 Pm 2.41
F 0.3333 0.6667 0.3335  3 Pm 2.41
F 0.6667 0.3333 0.0002  3 Pm 2.41

## Properties
Magnetization in μB/f.u.: 0.0
Space group: No. 160
E_form (uncorrected) in eV per atom: -2.484

# 9
First-principles (PBE) data for a geometry-optimized PrIBrF structure, as listed in Alexandria.

a b c (Å): 4.2360 4.2360 24.3111
angles (deg): 90.00 90.00 120.00
Closest atoms and distances in Å follow each position.
Sites, in units of the cell vectors:
Pr 0.0000 0.0000 0.0000  3 F 2.45
Pr 0.3333 0.6667 0.6667  3 F 2.45
Pr 0.6667 0.3333 0.3333  3 F 2.45
I 0.0000 0.0000 0.4255  3 Pr 3.32, 3 F 3.32
I 0.3333 0.6667 0.0922  3 Pr 3.32, 3 F 3.32
I 0.6667 0.3333 0.7589  3 Pr 3.32, 3 F 3.32
Br 0.0000 0.0000 0.2537  3 F 3.12, 3 Pr 3.12
Br 0.3333 0.6667 0.9204  3 F 3.12, 3 Pr 3.12
Br 0.6667 0.3333 0.5871  3 F 3.12, 3 Pr 3.12
F 0.0000 0.0000 0.6665  3 Pr 2.45
F 0.3333 0.6667 0.3332  3 Pr 2.45
F 0.6667 0.3333 0.9999  3 Pr 2.45

## Properties
Magnetization in μB/f.u.: 0.0
Space group: No. 160
E_form (uncorrected) in eV per atom: -2.491

# 10
First-principles (PBE) data for a geometry-optimized Rb2IBr6F structure, as listed in Alexandria.

a b c (Å): 7.7791 7.7791 7.7791
angles (deg): 60.00 60.00 60.00
Closest atoms and distances in Å follow each position.
Sites, in units of the cell vectors:
Rb 0.2500 0.2500 0.2500  12 Br 3.89
Rb 0.7500 0.7500 0.7500  12 Br 3.89
I 0.0000 0.0000 0.0000  6 Br 2.75
Br 0.2498 0.2498 0.7502  1 I 2.75, 1 F 2.75
Br 0.2498 0.7502 0.2498  1 I 2.75, 1 F 2.75
Br 0.2498 0.7502 0.7502  1 I 2.75, 1 F 2.75
Br 0.7502 0.2498 0.2498  1 I 2.75, 1 F 2.75
Br 0.7502 0.2498 0.7502  1 I 2.75, 1 F 2.75
Br 0.7502 0.7502 0.2498  1 I 2.75, 1 F 2.75
F 0.5000 0.5000 0.5000  6 Br 2.75

## Properties
Magnetization in μB/f.u.: 0.0
Space group: No. 225
E_form (uncorrected) in eV per atom: -0.794

# 11
First-principles (PBE) data for a geometry-optimized Rb3IBrF structure, as listed in Alexandria.

a b c (Å): 9.8059 9.8059 9.7750
angles (deg): 103.37 103.37 32.53
Closest atoms and distances in Å follow each position.
Sites, in units of the cell vectors:
Rb 0.0018 0.0018 0.2680  2 F 2.75
Rb 0.3471 0.3471 0.6664  1 F 2.74
Rb 0.3537 0.3537 0.1963  1 F 2.73
Rb 0.6463 0.6463 0.8037  1 F 2.73
Rb 0.6529 0.6529 0.3336  1 F 2.74
Rb 0.9982 0.9982 0.7320  2 F 2.75
I 0.1503 0.1503 0.0682  7 Rb 3.73-3.80
I 0.8497 0.8497 0.9318  7 Rb 3.73-3.80
Br 0.1518 0.1518 0.5703  7 Rb 3.56-3.61
Br 0.8482 0.8482 0.4297  7 Rb 3.56-3.61
F 0.4969 0.4969 0.7296  4 Rb 2.73-2.75
F 0.5031 0.5031 0.2704  4 Rb 2.73-2.75

## Properties
Magnetization in μB/f.u.: 0.0
Space group: No. 12
E_form (uncorrected) in eV per atom: -1.922

# 12
First-principles (PBE) data for a geometry-optimized Rb2IBrF6 structure, as listed in Alexandria.

a b c (Å): 7.1752 7.1752 7.1752
angles (deg): 60.00 60.00 60.00
Closest atoms and distances in Å follow each position.
Sites, in units of the cell vectors:
Rb 0.2500 0.2500 0.2500  12 F 3.62
Rb 0.7500 0.7500 0.7500  12 F 3.62
I 0.0000 0.0000 0.0000  6 F 2.03
Br 0.5000 0.5000 0.5000  6 F 3.05
F 0.1998 0.1998 0.8002  1 I 2.03
F 0.1998 0.8002 0.1998  1 I 2.03
F 0.1998 0.8002 0.8002  1 I 2.03
F 0.8002 0.1998 0.1998  1 I 2.03
F 0.8002 0.1998 0.8002  1 I 2.03
F 0.8002 0.8002 0.1998  1 I 2.03

## Properties
Magnetization in μB/f.u.: 0.0
Space group: No. 225
E_form (uncorrected) in eV per atom: -1.753

# 13
First-principles (PBE) data for a geometry-optimized Rb4IBr2F structure, as listed in Alexandria.

a b c (Å): 9.7986 9.7986 9.6760
angles (deg): 119.57 119.57 89.84
Closest atoms and distances in Å follow each position.
Sites, in units of the cell vectors:
Rb 0.1918 0.2863 0.9891  1 F 2.81
Rb 0.2436 0.7554 0.9956  3 Br 3.38-3.45, 2 F 3.49-3.50, 1 I 3.54
Rb 0.2446 0.7564 0.5044  3 Br 3.38-3.45, 2 F 3.49-3.50, 1 I 3.54
Rb 0.2863 0.1918 0.4891  1 F 2.81
Rb 0.7137 0.8082 0.5109  1 F 2.81
Rb 0.7554 0.2436 0.4956  3 Br 3.38-3.45, 2 F 3.49-3.50, 1 I 3.54
Rb 0.7564 0.2446 0.0044  3 Br 3.38-3.45, 2 F 3.49-3.50, 1 I 3.54
Rb 0.8082 0.7137 0.0109  1 F 2.81
I 0.5000 0.5000 0.0000  6 Rb 3.54-3.61
I 0.5000 0.5000 0.5000  6 Rb 3.54-3.61
Br 0.0000 0.0000 0.0000  6 Rb 3.38-3.46
Br 0.0000 0.0000 0.5000  6 Rb 3.38-3.46
Br 0.0000 0.5000 0.5000  4 Rb 3.44-3.45
Br 0.5000 0.0000 0.0000  4 Rb 3.44-3.45
F 0.0000 0.5000 0.0000  2 Rb 2.81
F 0.5000 0.0000 0.5000  2 Rb 2.81

## Properties
Magnetization in μB/f.u.: 0.0
Space group: No. 15
E_form (uncorrected) in eV per atom: -1.839

# 14
First-principles (PBE) data for a geometry-optimized RhI2BrF structure, as listed in Alexandria.

a b c (Å): 6.1079 6.1079 3.9141
angles (deg): 90.00 90.00 90.00
Closest atoms and distances in Å follow each position.
Sites, in units of the cell vectors:
Rh 0.0000 0.0000 0.0000  2 F 1.96
I 0.0000 0.5000 0.5000  2 F 3.05
I 0.5000 0.0000 0.5000  2 F 3.05
Br 0.5000 0.5000 0.0000  8 I 3.63, 2 Br 3.91
F 0.0000 0.0000 0.5000  2 Rh 1.96

## Properties
Magnetization in μB/f.u.: 3.4
Space group: No. 123
E_form (uncorrected) in eV per atom: 0.395

# 15
First-principles (PBE) data for a geometry-optimized SbI2BrF structure, as listed in Alexandria.

a b c (Å): 6.0541 6.0541 4.2358
angles (deg): 90.00 90.00 90.00
Closest atoms and distances in Å follow each position.
Sites, in units of the cell vectors:
Sb 0.0000 0.0000 0.0000  2 F 2.12
I 0.0000 0.5000 0.5000  2 F 3.03
I 0.5000 0.0000 0.5000  2 F 3.03
Br 0.5000 0.5000 0.0000  8 I 3.69
F 0.0000 0.0000 0.5000  2 Sb 2.12

## Properties
Relative energy among the computed polymorphs in meV per atom: 0
Magnetization in μB/f.u.: 0.8
Space group: No. 123
E_form (uncorrected) in eV per atom: -0.114

# 16
First-principles (PBE) data for a geometry-optimized SbI2BrF structure, as listed in Alexandria.

a b c (Å): 5.8895 5.8895 5.7076
angles (deg): 90.00 90.00 90.00
Closest atoms and distances in Å follow each position.
Sites, in units of the cell vectors:
Sb 0.0000 0.0000 0.0000  2 Br 2.85
I 0.0000 0.5000 0.5000  2 Br 2.94
I 0.5000 0.0000 0.5000  2 Br 2.94
Br 0.0000 0.0000 0.5000  2 Sb 2.85, 4 I 2.94
F 0.5000 0.5000 0.0000  8 I 4.10, 4 Sb 4.16

## Properties
Relative energy among the computed polymorphs in meV per atom: 586
Magnetization in μB/f.u.: 1.1
Space group: No. 123
E_form (uncorrected) in eV per atom: 0.472

# 17
First-principles (PBE) data for a geometry-optimized ScI2BrF structure, as listed in Alexandria.

a b c (Å): 6.0702 6.0702 4.9766
angles (deg): 90.00 90.00 90.00
Closest atoms and distances in Å follow each position.
Sites, in units of the cell vectors:
Sc 0.0000 0.0000 0.0000  2 Br 2.49
I 0.0000 0.5000 0.5000  2 Br 3.04
I 0.5000 0.0000 0.5000  2 Br 3.04
Br 0.0000 0.0000 0.5000  2 Sc 2.49
F 0.5000 0.5000 0.0000  8 I 3.92, 4 Sc 4.29

## Properties
Magnetization in μB/f.u.: 0.0
Space group: No. 123
E_form (uncorrected) in eV per atom: -0.062

# 18
First-principles (PBE) data for a geometry-optimized SeIBrF2 structure, as listed in Alexandria.

a b c (Å): 4.3146 4.3146 6.0250
angles (deg): 90.00 90.00 90.00
Closest atoms and distances in Å follow each position.
Sites, in units of the cell vectors:
Se 0.0000 0.0000 0.0000  4 F 2.16
I 0.5000 0.5000 0.5000  4 Br 3.05
Br 0.0000 0.0000 0.5000  2 Se 3.01, 4 I 3.05
F 0.0000 0.5000 0.0000  2 Se 2.16
F 0.5000 0.0000 0.0000  2 Se 2.16

## Properties
Magnetization in μB/f.u.: 0.0
Space group: No. 123
E_form (uncorrected) in eV per atom: -0.430

# 19
First-principles (PBE) data for a geometry-optimized Se2IBrF structure, as listed in Alexandria.

a b c (Å): 4.3696 4.3696 8.5318
angles (deg): 90.00 90.00 90.00
Closest atoms and distances in Å follow each position.
Sites, in units of the cell vectors:
Se 0.0000 0.5000 0.0000  2 F 2.18
Se 0.5000 0.0000 0.0000  2 F 2.18
I 0.0000 0.0000 0.5000  4 Br 3.09
Br 0.5000 0.5000 0.5000  4 I 3.09
F 0.5000 0.5000 0.0000  4 Se 2.18

## Properties
Relative energy among the computed polymorphs in meV per atom: 0
Magnetization in μB/f.u.: 0.0
Space group: No. 123
E_form (uncorrected) in eV per atom: 0.298

# 20
First-principles (PBE) data for a geometry-optimized Se2IBrF structure, as listed in Alexandria.

a b c (Å): 5.4513 5.4513 5.6313
angles (deg): 90.00 90.00 90.00
Closest atoms and distances in Å follow each position.
Sites, in units of the cell vectors:
Se 0.0000 0.5000 0.0000  2 I 2.73
Se 0.5000 0.0000 0.0000  2 I 2.73
I 0.0000 0.0000 0.0000  4 Se 2.73, 2 Br 2.82
Br 0.0000 0.0000 0.5000  2 I 2.82
F 0.5000 0.5000 0.5000  4 Br 3.85, 8 Se 3.92

## Properties
Relative energy among the computed polymorphs in meV per atom: 334
Magnetization in μB/f.u.: 1.9
Space group: No. 123
E_form (uncorrected) in eV per atom: 0.631